# 1
Entry from Alexandria via LeMat-Bulk: Zr3TiSb4 after structural relaxation (PBE).

Geometry as POSCAR:
```
Zr3TiSb4
1.0
9.9717 0.0000 0.0000
0.0000 8.4297 0.0000
0.0000 0.0000 5.7078
Zr Ti Sb
6 2 8
Cartesian
0.0000 1.4147 0.0000 Zr
2.4546 2.8189 2.8508 Zr
2.5312 5.6108 5.7046 Zr
4.9859 7.0150 2.8539 Zr
7.4405 5.6108 5.7046 Zr
7.5171 2.8189 2.8508 Zr
0.0000 6.9943 2.7117 Ti
4.9859 1.4354 5.5656 Ti
0.0000 1.3108 2.8460 Sb
0.0000 6.9678 5.5999 Sb
2.4262 5.6973 2.8441 Sb
2.5597 2.7324 5.6980 Sb
4.9859 1.4619 2.7461 Sb
4.9859 7.1189 5.6999 Sb
7.4121 2.7324 5.6980 Sb
7.5455 5.6973 2.8441 Sb
```

## Properties
DOS at the Fermi energy: 8.17 states/eV/f.u.
Formation energy from raw total energies: -0.240 eV per atom
Total magnetic moment: 0.00 μB/f.u.

# 2
Entry from Alexandria via LeMat-Bulk: SrTeIr2 after structural relaxation (PBE).

Geometry as POSCAR:
```
SrTeIr2
1.0
4.1753 0.0000 0.0000
0.0000 4.1753 0.0000
0.0000 0.0000 9.3300
Sr Te Ir
2 2 4
Cartesian
0.0000 0.0000 0.0000 Sr
2.0876 2.0876 4.6650 Sr
0.0000 2.0876 6.9975 Te
2.0876 0.0000 2.3325 Te
0.0000 0.0000 4.6650 Ir
0.0000 2.0876 2.3325 Ir
2.0876 0.0000 6.9975 Ir
2.0876 2.0876 0.0000 Ir
```

## Properties
DOS at the Fermi energy: 4.22 states/eV/f.u.
Formation energy from raw total energies: 0.295 eV per atom
Total magnetic moment: 0.00 μB/f.u.

# 3
Entry from Alexandria via LeMat-Bulk: Ho2PuBr after structural relaxation (PBE).

Geometry as POSCAR:
```
Ho2PuBr
1.0
3.5753 0.0000 0.0000
-1.7876 3.0963 0.0000
0.0000 0.0000 30.1723
Ho Pu Br
6 3 3
Cartesian
0.0000 0.0000 7.3683 Ho
0.0000 0.0000 22.8040 Ho
0.0000 2.0642 12.7466 Ho
0.0000 2.0642 27.4831 Ho
1.7876 1.0321 2.6892 Ho
1.7876 1.0321 17.4257 Ho
0.0000 0.0000 0.0000 Pu
0.0000 2.0642 20.1149 Pu
1.7876 1.0321 10.0574 Pu
0.0000 0.0000 15.0862 Br
0.0000 2.0642 5.0287 Br
1.7876 1.0321 25.1436 Br
```

## Properties
DOS at the Fermi energy: 7.21 states/eV/f.u.
Formation energy from raw total energies: -0.448 eV per atom
Total magnetic moment: 5.94 μB/f.u.